Computed, not measured: a relaxed structure of LiTaB2 at the PBE level of DFT.

Geometry as extended XYZ:
```
4
Lattice="0.000 2.744 2.744 2.744 0.000 2.744 2.744 2.744 0.000" Properties=species:S:1:pos:R:3 pbc="T T T"
B 1.372 1.372 1.372
B 4.116 4.116 4.116
Li 0.000 0.000 0.000
Ta 2.744 2.744 2.744
```

## Properties
SG: Fm-3m (225)
M_tot, μB per cell: 0.0
Energy relative to the elements, eV/atom: 0.421
E above lowest polymorph, eV/f.u.: 0.00

Computed, not measured: a relaxed structure of Li2TaB at the PBE level of DFT.

Geometry as extended XYZ:
```
8
Lattice="-3.594 -4.809 3.284 4.028 -4.840 -2.679 1.606 -4.651 2.077" Properties=species:S:1:pos:R:3 pbc="T T T"
B 0.217 -4.824 0.303
B 2.925 -7.157 -0.149
Li -1.107 -4.459 2.022
Li 2.235 -5.102 -0.530
Li 1.630 -7.422 1.610
Li 1.321 -11.615 2.262
Ta 0.000 0.000 0.000
Ta -0.886 -7.142 2.832
```

## Properties
SG: I-42d (122)
M_tot, μB per cell: 0.0
Energy relative to the elements, eV/atom: 0.710

Computed, not measured: a relaxed structure of Li2TaTcB at the PBE level of DFT.

Geometry as extended XYZ:
```
5
Lattice="3.910 0.000 0.000 0.000 4.460 0.000 0.000 0.000 3.910" Properties=species:S:1:pos:R:3 pbc="T T T"
B 0.000 0.000 0.000
Li 0.000 0.000 1.955
Li 1.955 0.000 0.000
Tc 1.955 2.230 1.955
Ta 0.000 2.230 0.000
```

## Properties
SG: P4/mmm (123)
M_tot, μB per cell: 0.0
Energy relative to the elements, eV/atom: 0.634

Computed, not measured: a relaxed structure of Li2YTaB at the PBE level of DFT.

Geometry as extended XYZ:
```
5
Lattice="4.318 0.000 0.000 0.000 4.487 0.000 0.000 0.000 4.318" Properties=species:S:1:pos:R:3 pbc="T T T"
Y 0.000 0.000 0.000
B 0.000 2.244 0.000
Li 0.000 0.000 2.159
Li 2.159 0.000 0.000
Ta 2.159 2.244 2.159
```

## Properties
SG: P4/mmm (123)
M_tot, μB per cell: 0.0
Energy relative to the elements, eV/atom: 1.717

Computed, not measured: a relaxed structure of Li2ZrTaB at the PBE level of DFT.

Geometry as extended XYZ:
```
5
Lattice="-1.534 3.817 1.942 -3.874 -0.832 -1.425 -0.908 -2.306 3.814" Properties=species:S:1:pos:R:3 pbc="T T T"
B -1.937 -0.416 -0.712
Li -0.454 -1.153 1.907
Li -0.767 1.908 0.971
Zr -3.158 0.339 2.166
Ta 0.000 0.000 0.000
```

## Properties
SG: P4/mmm (123)
M_tot, μB per cell: 0.4
Energy relative to the elements, eV/atom: 1.209

Computed, not measured: a relaxed structure of LiTbB at the PBE level of DFT.

Geometry as extended XYZ:
```
6
Lattice="-3.365 0.211 -1.701 3.101 -2.820 -2.293 -2.680 -5.027 4.676" Properties=species:S:1:pos:R:3 pbc="T T T"
Tb -1.903 -4.823 3.165
Tb -1.040 -2.813 -2.483
Li -0.552 -4.978 0.475
Li -2.390 -2.658 0.207
B -1.660 -0.675 -0.992
B -1.283 -6.962 1.674
```

## Properties
SG: C2/m (12)
M_tot, μB per cell: 0.0
Energy relative to the elements, eV/atom: -0.018

Computed, not measured: a relaxed structure of LiTbB12 at the PBE level of DFT.

Geometry as extended XYZ:
```
14
Lattice="4.120 0.000 0.000 0.000 4.120 0.000 0.000 0.000 8.242" Properties=species:S:1:pos:R:3 pbc="T T T"
Li 0.000 0.000 4.121
Tb 0.000 0.000 0.000
B 0.825 2.060 2.045
B 0.825 2.060 6.196
B 2.060 2.060 3.289
B 2.060 2.060 7.424
B 2.060 0.825 2.045
B 2.060 0.825 6.196
B 2.060 2.060 0.817
B 2.060 2.060 4.952
B 2.060 3.294 2.045
B 2.060 3.294 6.196
B 3.294 2.060 2.045
B 3.294 2.060 6.196
```

## Properties
SG: P4/mmm (123)
M_tot, μB per cell: 0.0
Energy relative to the elements, eV/atom: -0.270

Computed, not measured: a relaxed structure of LiTcB4 at the PBE level of DFT.

Geometry as extended XYZ:
```
6
Lattice="0.452 2.950 0.222 0.579 1.117 4.168 4.251 0.836 0.437" Properties=species:S:1:pos:R:3 pbc="T T T"
Li 2.641 2.451 2.414
Tc 0.452 2.950 0.222
B 4.521 3.637 3.000
B 3.350 3.726 4.191
B 0.760 1.265 1.828
B 1.932 1.176 0.637
```

## Properties
SG: Immm (71)
M_tot, μB per cell: 0.0
Energy relative to the elements, eV/atom: -0.247
E above lowest polymorph, eV/f.u.: 0.00

Computed, not measured: a relaxed structure of LiTc3B at the PBE level of DFT.

Geometry as extended XYZ:
```
5
Lattice="4.012 0.000 0.000 0.000 4.012 0.000 0.000 0.000 4.012" Properties=species:S:1:pos:R:3 pbc="T T T"
B 2.006 2.006 2.006
Tc 0.000 2.006 0.000
Tc 0.000 0.000 2.006
Tc 2.006 0.000 0.000
Li 0.000 0.000 0.000
```

## Properties
SG: Pm-3m (221)
M_tot, μB per cell: 0.0
Energy relative to the elements, eV/atom: 1.758
E above lowest polymorph, eV/f.u.: 6.82

Computed, not measured: a relaxed structure of LiTcB4 at the PBE level of DFT.

Geometry as extended XYZ:
```
6
Lattice="3.989 0.000 0.000 1.994 3.454 0.000 1.994 1.151 3.257" Properties=species:S:1:pos:R:3 pbc="T T T"
B 3.989 2.303 0.339
B 3.989 1.087 2.058
B 5.042 2.911 2.058
B 2.936 2.911 2.058
Tc 1.994 1.151 0.814
Li 0.000 0.000 0.000
```

## Properties
SG: F-43m (216)
M_tot, μB per cell: 0.0
Energy relative to the elements, eV/atom: -0.038
E above lowest polymorph, eV/f.u.: 1.25

Computed, not measured: a relaxed structure of Li3TcB at the PBE level of DFT.

Geometry as extended XYZ:
```
5
Lattice="-3.131 3.265 -1.559 -3.613 -2.929 1.123 -0.188 1.912 4.382" Properties=species:S:1:pos:R:3 pbc="T T T"
B -3.466 1.124 1.973
Tc 0.000 0.000 0.000
Li -1.807 -1.465 0.562
Li -0.094 0.956 2.191
Li -1.566 1.632 -0.780
```

## Properties
SG: Pm-3m (221)
M_tot, μB per cell: 1.6
Energy relative to the elements, eV/atom: 1.938
E above lowest polymorph, eV/f.u.: 4.36

Computed, not measured: a relaxed structure of LiTc2B at the PBE level of DFT.

Geometry as extended XYZ:
```
8
Lattice="3.535 0.000 0.000 0.000 3.535 0.000 1.767 1.767 8.281" Properties=species:S:1:pos:R:3 pbc="T T T"
B 0.000 0.000 0.000
B 3.535 1.767 4.140
Tc 2.693 0.884 2.070
Tc 0.842 2.651 2.070
Tc 2.651 2.610 6.210
Tc 4.419 4.460 6.210
Li 1.767 1.767 0.000
Li 1.767 3.535 4.140
```

## Properties
SG: I-42d (122)
M_tot, μB per cell: 0.0
Energy relative to the elements, eV/atom: 0.770

Computed, not measured: a relaxed structure of Li3TcB at the PBE level of DFT.

Geometry as extended XYZ:
```
5
Lattice="3.939 0.000 0.000 0.000 3.939 0.000 0.000 0.000 3.939" Properties=species:S:1:pos:R:3 pbc="T T T"
B 0.000 0.000 0.000
Tc 1.970 1.970 1.970
Li 0.000 1.970 0.000
Li 0.000 0.000 1.970
Li 1.970 0.000 0.000
```

## Properties
SG: Pm-3m (221)
M_tot, μB per cell: 0.0
Energy relative to the elements, eV/atom: 1.065
E above lowest polymorph, eV/f.u.: 0.00

Computed, not measured: a relaxed structure of LiTc3B at the PBE level of DFT.

Geometry as extended XYZ:
```
5
Lattice="4.108 0.000 0.000 0.000 4.108 0.000 0.000 0.000 4.108" Properties=species:S:1:pos:R:3 pbc="T T T"
B 0.000 0.000 0.000
Tc 0.000 2.054 0.000
Tc 0.000 0.000 2.054
Tc 2.054 0.000 0.000
Li 2.054 2.054 2.054
```

## Properties
SG: Pm-3m (221)
M_tot, μB per cell: 0.0
Energy relative to the elements, eV/atom: 0.395
E above lowest polymorph, eV/f.u.: 0.00

Computed, not measured: a relaxed structure of LiTlTc2B at the PBE level of DFT.

Geometry as extended XYZ:
```
5
Lattice="4.155 0.000 0.000 0.000 4.632 0.000 0.000 0.000 4.155" Properties=species:S:1:pos:R:3 pbc="T T T"
Tl 0.000 2.316 0.000
B 0.000 0.000 0.000
Tc 0.000 0.000 2.078
Tc 2.078 0.000 0.000
Li 2.078 2.316 2.078
```

## Properties
SG: P4/mmm (123)
M_tot, μB per cell: 1.3
Energy relative to the elements, eV/atom: 0.637

Computed, not measured: a relaxed structure of LiTc2BW at the PBE level of DFT.

Geometry as extended XYZ:
```
5
Lattice="4.015 0.000 0.000 0.000 4.112 0.000 0.000 0.000 4.015" Properties=species:S:1:pos:R:3 pbc="T T T"
B 2.008 2.056 2.008
Tc 0.000 0.000 2.008
Tc 2.008 0.000 0.000
W 0.000 2.056 0.000
Li 0.000 0.000 0.000
```

## Properties
SG: P4/mmm (123)
M_tot, μB per cell: 0.0
Energy relative to the elements, eV/atom: 1.839

Computed, not measured: a relaxed structure of LiB3Te at the PBE level of DFT.

Geometry as extended XYZ:
```
5
Lattice="4.044 0.000 0.000 0.000 4.044 0.000 0.000 0.000 4.044" Properties=species:S:1:pos:R:3 pbc="T T T"
B 0.000 2.022 0.000
B 0.000 0.000 2.022
B 2.022 0.000 0.000
Te 2.022 2.022 2.022
Li 0.000 0.000 0.000
```

## Properties
SG: Pm-3m (221)
Formation energy (no corrections), eV/atom: 1.9660
M_tot, μB per cell: 0.0
E above lowest polymorph, eV/f.u.: 0.00

Computed, not measured: a relaxed structure of LiBTe2 at the PBE level of DFT.

Geometry as extended XYZ:
```
4
Lattice="0.300 -1.637 7.178 1.394 -5.535 4.659 4.657 -2.118 5.302" Properties=species:S:1:pos:R:3 pbc="T T T"
B 0.000 0.000 0.000
Te 5.720 -8.368 15.438
Te 0.630 -0.922 1.701
Li 3.175 -4.645 8.570
```

## Properties
SG: R-3m (166)
Formation energy (no corrections), eV/atom: 0.0649
M_tot, μB per cell: 0.0

Computed, not measured: a relaxed structure of Li2BTe at the PBE level of DFT.

Geometry as extended XYZ:
```
8
Lattice="3.808 0.000 0.000 0.000 3.808 0.000 1.904 1.904 8.666" Properties=species:S:1:pos:R:3 pbc="T T T"
B 1.904 1.904 0.000
B 1.904 3.808 4.333
Te 0.000 0.000 0.000
Te 3.808 1.904 4.333
Li 2.673 0.952 2.166
Li 1.135 2.856 2.166
Li 2.856 3.039 6.499
Li 4.760 4.576 6.499
```

## Properties
SG: I-42d (122)
Formation energy (no corrections), eV/atom: 0.3582
M_tot, μB per cell: 0.0
E above lowest polymorph, eV/f.u.: 0.12

Computed, not measured: a relaxed structure of LiBTe2 at the PBE level of DFT.

Geometry as extended XYZ:
```
8
Lattice="-4.729 -1.240 3.810 3.668 -3.711 3.345 0.755 1.357 6.419" Properties=species:S:1:pos:R:3 pbc="T T T"
B 0.000 0.000 0.000
B -2.252 -1.179 6.903
Te -2.599 -0.976 4.638
Te 2.181 -2.059 3.937
Te -0.057 -0.611 7.292
Te -0.136 -3.543 11.281
Li -0.530 -2.475 3.577
Li 1.946 -2.415 6.671
```

## Properties
SG: I-42d (122)
Formation energy (no corrections), eV/atom: -0.1901
M_tot, μB per cell: 0.0

Computed, not measured: a relaxed structure of Li2BTe at the PBE level of DFT.

Geometry as extended XYZ:
```
4
Lattice="-2.959 -3.357 -0.690 -1.830 -2.166 3.531 -4.375 0.597 1.002" Properties=species:S:1:pos:R:3 pbc="T T T"
B 0.000 0.000 0.000
Te -4.582 -2.463 1.921
Li -2.291 -1.232 0.961
Li -6.874 -3.695 2.882
```

## Properties
SG: Fm-3m (225)
Formation energy (no corrections), eV/atom: 0.3271
M_tot, μB per cell: 0.0
E above lowest polymorph, eV/f.u.: 0.00

Computed, not measured: a relaxed structure of LiB3Te at the PBE level of DFT.

Geometry as extended XYZ:
```
5
Lattice="4.518 0.000 0.000 0.000 4.518 0.000 0.000 0.000 4.518" Properties=species:S:1:pos:R:3 pbc="T T T"
B 0.000 2.259 0.000
B 0.000 0.000 2.259
B 2.259 0.000 0.000
Te 0.000 0.000 0.000
Li 2.259 2.259 2.259
```

## Properties
SG: Pm-3m (221)
Formation energy (no corrections), eV/atom: 2.0481
M_tot, μB per cell: 0.0
E above lowest polymorph, eV/f.u.: 0.41

Computed, not measured: a relaxed structure of LiBTe2 at the PBE level of DFT.

Geometry as extended XYZ:
```
4
Lattice="6.033 5.124 2.778 6.665 2.080 4.650 7.930 2.425 1.267" Properties=species:S:1:pos:R:3 pbc="T T T"
B 10.314 4.814 4.347
Te 18.392 8.585 7.752
Te 2.236 1.044 0.943
Li 0.000 0.000 0.000
```

## Properties
SG: R-3m (166)
Formation energy (no corrections), eV/atom: 0.3921
M_tot, μB per cell: 0.0

Computed, not measured: a relaxed structure of LiThB at the PBE level of DFT.

Geometry as extended XYZ:
```
6
Lattice="3.700 0.000 0.000 -1.850 4.520 0.326 0.000 -1.828 7.388" Properties=species:S:1:pos:R:3 pbc="T T T"
Th 0.000 -0.436 6.218
Th 1.850 3.128 1.497
Li 0.000 2.237 4.603
Li 1.850 0.455 3.112
B 1.850 0.603 0.564
B 0.000 2.089 7.151
```

## Properties
SG: C2/m (12)
M_tot, μB per cell: 0.0
Energy relative to the elements, eV/atom: 0.008

Computed, not measured: a relaxed structure of LiThB4 at the PBE level of DFT.

Geometry as extended XYZ:
```
24
Lattice="3.787 0.000 0.000 0.000 6.038 0.000 0.000 0.000 11.668" Properties=species:S:1:pos:R:3 pbc="T T T"
Li 0.000 3.788 0.979
Li 0.000 2.251 10.689
Li 0.000 0.768 4.855
Li 0.000 5.270 6.813
Th 0.000 3.774 4.080
Th 0.000 2.264 7.588
Th 0.000 0.755 1.754
Th 0.000 5.284 9.914
B 1.893 4.741 2.164
B 1.893 1.297 9.504
B 1.893 1.722 3.670
B 1.893 4.316 7.998
B 1.893 5.211 0.367
B 1.893 0.827 11.301
B 1.893 2.192 5.467
B 1.893 3.846 6.201
B 1.893 5.369 5.303
B 1.893 0.669 6.365
B 1.893 2.350 0.531
B 1.893 3.688 11.137
B 1.893 5.872 3.599
B 1.893 0.166 8.069
B 1.893 2.853 2.235
B 1.893 3.185 9.433
```

## Properties
SG: Pbam (55)
M_tot, μB per cell: 0.0
Energy relative to the elements, eV/atom: -0.397

Computed, not measured: a relaxed structure of LiTiB2 at the PBE level of DFT.

Geometry as extended XYZ:
```
8
Lattice="-0.292 0.240 -3.425 3.358 -0.695 -0.335 -0.200 -8.393 -2.304" Properties=species:S:1:pos:R:3 pbc="T T T"
B 0.114 -1.975 -3.613
B 1.793 -2.323 -3.783
B 0.162 -6.292 -3.054
B 0.013 -6.171 -4.766
Li 1.533 -0.228 -1.880
Li 2.345 -4.658 -2.260
Ti 0.000 0.000 0.000
Ti 0.520 -4.190 -3.804
```

## Properties
SG: I4_1/amd (141)
M_tot, μB per cell: 1.4
Energy relative to the elements, eV/atom: 0.701
E above lowest polymorph, eV/f.u.: 1.87